1.
## MgCdMo2 (GGA-PBE)

Data for a relaxed MgCdMo2 crystal.

a b c (Å): 7.544 7.544 5.297
angles (deg): 90.00 90.00 90.00
Fractional positions:
Mg1 0.000 0.000 0.000
Mg2 0.000 0.500 0.250
Mg3 0.500 0.000 0.750
Mg4 0.500 0.500 0.500
Cd1 0.000 0.000 0.500
Cd2 0.000 0.500 0.750
Cd3 0.500 0.000 0.250
Cd4 0.500 0.500 0.000
Mo1 0.249 0.250 0.625
Mo2 0.250 0.749 0.875
Mo3 0.250 0.751 0.375
Mo4 0.251 0.250 0.125
Mo5 0.749 0.750 0.125
Mo6 0.750 0.249 0.375
Mo7 0.750 0.251 0.875
Mo8 0.751 0.750 0.625

Summary:
- energy relative to the lowest polymorph listed for this composition (meV/atom) = 823.3
- mass density (g/cm3) = 7.24

=====

2.
## MgCdMo2 (GGA-PBE)

Data for a relaxed MgCdMo2 crystal.

a b c (Å): 2.749 2.749 9.221
angles (deg): 90.00 90.00 90.00
Fractional positions:
Mg1 0.000 0.000 0.000
Cd1 0.000 0.000 0.500
Mo1 0.500 0.500 0.248
Mo2 0.500 0.500 0.752

Summary:
- energy relative to the lowest polymorph listed for this composition (meV/atom) = 210.9
- mass density (g/cm3) = 7.83

=====

3.
## MgCdMo2 (GGA-PBE)

Data for a relaxed MgCdMo2 crystal.

a b c (Å): 3.850 3.850 4.647
angles (deg): 90.00 90.00 90.00
Fractional positions:
Mg1 0.000 0.000 0.000
Cd1 0.500 0.500 0.000
Mo1 0.000 0.500 0.500
Mo2 0.500 0.000 0.500

Summary:
- energy relative to the lowest polymorph listed for this composition (meV/atom) = 151.1
- mass density (g/cm3) = 7.92

=====

4.
## MgCdMo2 (GGA-PBE)

Data for a relaxed MgCdMo2 crystal.

a b c (Å): 2.748 2.748 9.391
angles (deg): 90.00 90.00 90.00
Fractional positions:
Mg1 0.000 0.000 0.000
Cd1 0.500 0.500 0.732
Mo1 0.000 0.000 0.483
Mo2 0.500 0.500 0.238

Summary:
- energy relative to the lowest polymorph listed for this composition (meV/atom) = 159.8
- mass density (g/cm3) = 7.69

=====

5.
## MgCd4Mo2 (GGA-PBE)

Data for a relaxed MgCd4Mo2 crystal.

a b c (Å): 5.306 5.306 13.735
angles (deg): 90.00 90.00 90.00
Fractional positions:
Mg1 0.000 0.000 0.000
Mg2 0.500 0.500 0.500
Cd1 0.000 0.000 0.207
Cd2 0.000 0.000 0.793
Cd3 0.000 0.500 0.000
Cd4 0.000 0.500 0.500
Cd5 0.500 0.000 0.000
Cd6 0.500 0.000 0.500
Cd7 0.500 0.500 0.293
Cd8 0.500 0.500 0.707
Mo1 0.000 0.000 0.420
Mo2 0.000 0.000 0.580
Mo3 0.500 0.500 0.080
Mo4 0.500 0.500 0.920

Summary:
- mass density (g/cm3) = 5.72

=====

6.
## MgCdMo2 (GGA-PBE)

Data for a relaxed MgCdMo2 crystal.

a b c (Å): 2.745 4.714 5.479
angles (deg): 90.00 100.39 90.00
Fractional positions:
Mg1 0.000 0.000 0.000
Cd1 0.000 0.000 0.500
Mo1 0.495 0.500 0.230
Mo2 0.505 0.500 0.770

Summary:
- energy relative to the lowest polymorph listed for this composition (meV/atom) = 150.7
- mass density (g/cm3) = 7.82

=====

7.
## MgCdMo4 (GGA-PBE)

Data for a relaxed MgCdMo4 crystal.

a b c (Å): 5.338 5.338 5.338
angles (deg): 60.00 60.00 60.00
Fractional positions:
Mg1 0.000 0.000 0.000
Cd1 0.250 0.250 0.250
Mo1 0.125 0.625 0.625
Mo2 0.625 0.125 0.625
Mo3 0.625 0.625 0.125
Mo4 0.625 0.625 0.625

Summary:
- mass density (g/cm3) = 8.04

=====

8.
## Mg14CdMo (GGA-PBE)

Data for a relaxed Mg14CdMo crystal.

a b c (Å): 10.115 6.275 6.275
angles (deg): 60.10 90.00 90.00
Fractional positions:
Mg1 0.000 0.000 0.000
Mg2 0.000 0.000 0.496
Mg3 0.000 0.496 0.000
Mg4 0.000 0.499 0.499
Mg5 0.249 0.832 0.832
Mg6 0.259 0.337 0.337
Mg7 0.263 0.336 0.821
Mg8 0.263 0.821 0.336
Mg9 0.500 0.001 0.500
Mg10 0.500 0.500 0.001
Mg11 0.737 0.336 0.821
Mg12 0.737 0.821 0.336
Mg13 0.741 0.337 0.337
Mg14 0.751 0.832 0.832
Cd1 0.500 0.997 0.997
Mo1 0.500 0.497 0.497

Summary:
- energy relative to the lowest polymorph listed for this composition (meV/atom) = 6.3
- mass density (g/cm3) = 2.64

=====

9.
## Mg6CdMo (GGA-PBE)

Data for a relaxed Mg6CdMo crystal.

a b c (Å): 4.617 7.356 9.539
angles (deg): 90.00 90.00 90.00
Fractional positions:
Mg1 0.000 0.000 0.000
Mg2 0.000 0.235 0.735
Mg3 0.000 0.265 0.235
Mg4 0.000 0.500 0.500
Mg5 0.000 0.735 0.235
Mg6 0.000 0.765 0.735
Mg7 0.500 0.000 0.247
Mg8 0.500 0.243 0.971
Mg9 0.500 0.257 0.471
Mg10 0.500 0.500 0.747
Mg11 0.500 0.743 0.471
Mg12 0.500 0.757 0.971
Cd1 0.500 0.000 0.694
Cd2 0.500 0.500 0.194
Mo1 0.000 0.000 0.471
Mo2 0.000 0.500 0.971

Summary:
- energy relative to the lowest polymorph listed for this composition (meV/atom) = 0.0
- mass density (g/cm3) = 3.63

=====

10.
## MgCdMo2 (GGA-PBE)

Data for a relaxed MgCdMo2 crystal.

a b c (Å): 2.799 4.420 5.886
angles (deg): 90.00 103.13 90.00
Fractional positions:
Mg1 0.000 0.000 0.000
Cd1 0.279 0.500 0.750
Mo1 0.589 0.000 0.463
Mo2 0.752 0.500 0.265

Summary:
- energy relative to the lowest polymorph listed for this composition (meV/atom) = 73.5
- mass density (g/cm3) = 7.70

=====

11.
## MgCdMo3 (GGA-PBE)

Data for a relaxed MgCdMo3 crystal.

a b c (Å): 4.627 4.627 4.627
angles (deg): 90.00 90.00 90.00
Fractional positions:
Mg1 0.000 0.000 0.000
Cd1 0.500 0.500 0.500
Mo1 0.000 0.000 0.500
Mo2 0.000 0.500 0.000
Mo3 0.500 0.000 0.000

Summary:
- energy relative to the lowest polymorph listed for this composition (meV/atom) = 0.0
- mass density (g/cm3) = 7.12

=====

12.
## Mg14CdMo (GGA-PBE)

Data for a relaxed Mg14CdMo crystal.

a b c (Å): 6.268 6.268 10.113
angles (deg): 90.00 90.00 120.00
Fractional positions:
Mg1 0.000 0.000 0.250
Mg2 0.000 0.000 0.750
Mg3 0.012 0.506 0.241
Mg4 0.012 0.506 0.759
Mg5 0.333 0.167 0.000
Mg6 0.335 0.167 0.500
Mg7 0.494 0.506 0.241
Mg8 0.494 0.506 0.759
Mg9 0.494 0.988 0.241
Mg10 0.494 0.988 0.759
Mg11 0.833 0.167 0.000
Mg12 0.833 0.167 0.500
Mg13 0.833 0.665 0.500
Mg14 0.833 0.667 0.000
Cd1 0.333 0.667 0.500
Mo1 0.333 0.667 0.000

Summary:
- energy relative to the lowest polymorph listed for this composition (meV/atom) = 0.0
- mass density (g/cm3) = 2.65

=====

Number 1: ΔE_f 1020 meV/atom. Number 2: ΔE_f 408 meV/atom. Number 3: ΔE_f 348 meV/atom. Number 4: ΔE_f 357 meV/atom. Number 5: ΔE_f 947 meV/atom. Number 6: ΔE_f 348 meV/atom. Number 7: ΔE_f 442 meV/atom. Number 8: ΔE_f 79 meV/atom. Number 9: ΔE_f 159 meV/atom. Number 10: ΔE_f 271 meV/atom. Number 11: ΔE_f 2009 meV/atom. Number 12: ΔE_f 73 meV/atom.